Entry 1:
Material: Fe2SiTe
Method: DFT, PBE
State: optimized geometry

The structure in POSCAR format:
```
Fe2SiTe
1.0
-2.099 2.099 7.909
2.099 -2.099 7.909
2.099 2.099 -7.909
Fe Si Te
4 2 2
Cartesian
3.149 0.675 -1.977
0.675 1.050 1.977
-1.050 1.425 5.932
1.425 1.050 9.886
0.000 0.000 0.000
0.000 2.099 3.954
2.099 0.000 3.954
0.000 0.000 7.909
```

Computed properties:
- Theoretical density: 6.4 g/cm3
- V: 139 Å³ per cell
- Distance to the lowest polymorph of the same formula: 0.252 eV per atom


Entry 2:
Material: Fe2SiTe
Method: DFT, PBE
State: optimized geometry

The structure in POSCAR format:
```
Fe2SiTe
1.0
3.278 0.000 0.000
0.000 3.278 0.000
0.000 0.000 5.399
Fe Si Te
2 1 1
Cartesian
0.000 0.000 0.000
1.639 1.639 1.751
0.000 0.000 2.310
1.639 1.639 4.352
```

Computed properties:
- Theoretical density: 7.7 g/cm3
- V: 58 Å³ per cell
- Distance to the lowest polymorph of the same formula: 0.080 eV per atom


Entry 3:
Material: FeSi2Te
Method: DFT, PBE
State: optimized geometry

The structure in POSCAR format:
```
FeSi2Te
1.0
-2.204 2.204 3.396
2.204 -2.204 3.396
2.204 2.204 -3.396
Fe Si Te
1 2 1
Cartesian
0.000 0.000 0.000
2.204 0.000 1.698
0.000 0.000 3.396
0.000 2.204 1.698
```

Computed properties:
- Theoretical density: 6.0 g/cm3
- Calculated total energy: -4.958 eV/atom
- V: 66 Å³ per cell


Entry 4:
Material: FeSi2Te
Method: DFT, PBE
State: optimized geometry

The structure in POSCAR format:
```
FeSi2Te
1.0
-1.788 2.697 3.748
1.788 -2.697 3.748
1.788 2.697 -3.748
Fe Si Te
1 2 1
Cartesian
0.000 0.000 0.000
0.000 0.000 4.287
0.000 2.697 2.113
1.788 0.000 2.023
```

Computed properties:
- Theoretical density: 5.5 g/cm3
- Calculated total energy: -5.044 eV/atom
- V: 72 Å³ per cell


Entry 5:
Material: Fe2SiTe
Method: DFT, PBE
State: optimized geometry

The structure in POSCAR format:
```
Fe2SiTe
1.0
3.103 0.000 0.000
0.000 3.103 0.000
0.000 0.000 7.026
Fe Si Te
2 1 1
Cartesian
0.000 0.000 0.000
1.552 1.552 1.360
0.000 0.000 2.458
1.552 1.552 5.430
```

Computed properties:
- Theoretical density: 6.6 g/cm3
- V: 68 Å³ per cell
- Distance to the lowest polymorph of the same formula: 0.115 eV per atom


Entry 6:
Material: Fe2SiTe
Method: DFT, PBE
State: optimized geometry

The structure in POSCAR format:
```
Fe2SiTe
1.0
-1.886 1.886 4.173
1.886 -1.886 4.173
1.886 1.886 -4.173
Fe Si Te
2 1 1
Cartesian
0.000 0.000 0.000
0.000 1.886 2.087
1.886 0.000 2.087
0.000 0.000 4.173
```

Computed properties:
- Theoretical density: 7.5 g/cm3
- V: 59 Å³ per cell
- Distance to the lowest polymorph of the same formula: 0.359 eV per atom


Entry 7:
Material: Fe2SiTe
Method: DFT, PBE
State: optimized geometry

The structure in POSCAR format:
```
Fe2SiTe
1.0
3.143 0.000 0.000
0.000 4.547 0.000
-1.566 0.000 4.327
Fe Si Te
2 1 1
Cartesian
0.000 0.000 0.000
0.004 2.274 3.576
-0.003 2.274 0.891
0.007 0.000 2.479
```

Computed properties:
- Theoretical density: 7.2 g/cm3
- V: 62 Å³ per cell
- Distance to the lowest polymorph of the same formula: 0.134 eV per atom


Entry 8:
Material: Fe2SiTe
Method: DFT, PBE
State: optimized geometry

The structure in POSCAR format:
```
Fe2SiTe
1.0
4.226 0.000 0.000
0.000 4.226 0.000
0.000 0.000 3.069
Fe Si Te
2 1 1
Cartesian
0.000 2.113 0.000
2.113 0.000 0.000
0.000 0.000 1.535
2.113 2.113 1.535
```

Computed properties:
- Theoretical density: 8.1 g/cm3
- V: 55 Å³ per cell
- Distance to the lowest polymorph of the same formula: 0.207 eV per atom


Question: theoretical density of number 7 (Fe2SiTe)?
Answer: 7.2 g/cm3